Entry from the Alexandria database: a relaxed structure of NdTm2ZrP4 (PBE).

POSCAR file:
```
NdTm2ZrP4
1.0
3.9414 0.0000 0.0000
0.0000 6.8404 0.1357
0.0000 -2.3751 6.3885
Tm Nd Zr P
2 1 1 4
direct
0.0000 0.5000 0.5000
0.5000 0.0000 0.5000
0.5000 0.5000 0.0000
0.0000 0.0000 0.0000
0.5000 0.7629 0.7538
0.5000 0.2371 0.2462
0.0000 0.7641 0.2545
0.0000 0.2359 0.7455
```

Results
Calculated formation energy ... -1.50 eV/atom
Space group ... P2/m (10)
Final energy ... -55.9 eV per cell
V ... 173.5 Å³ per cell

***

Entry from the Alexandria database: a relaxed structure of CaLaMo (PBE).

POSCAR file:
```
CaLaMo
1.0
5.0528 0.0000 0.0000
2.5264 4.3758 0.0000
2.5264 1.4586 4.1256
Mo La Ca
1 1 1
direct
0.7500 0.7500 0.7500
0.5000 0.5000 0.5000
0.0000 0.0000 0.0000
```

Results
Calculated formation energy ... 0.93 eV/atom
Excess energy over the best structure of this formula in the dataset ... 355 meV per atom
Space group ... F-43m (216)
Final energy ... -15.0 eV per cell
V ... 91.2 Å³ per cell